Here is a geometry-optimized RbInBr2 structure from Alexandria via LeMat-Bulk. Energies are from PBE-GGA.

DOS at the Fermi energy = 0.00 states/eV/atom
Energy above the lowest structure with this stoichiometry = 0 meV/atom
Raw formation energy = -1.194 eV per atom
Magnetization = 0.0 μB/cell

Unit cell a=4.8512 b=6.8462 c=9.6891 alpha=90.00 beta=90.00 gamma=90.00
With the nearest neighbours (Å) after each atom.
Positions (direct):
Rb 0.2500 0.2500 0.1300  6 Br 3.42-3.51
Rb 0.7500 0.7500 0.8700  6 Br 3.42-3.51
In 0.2500 0.2500 0.6232  6 Br 3.34-3.42
In 0.7500 0.7500 0.3768  6 Br 3.34-3.42
Br 0.2500 0.7500 0.1314  2 In 3.40, 4 Rb 3.42-3.51
Br 0.2500 0.7500 0.6139  4 In 3.34-3.42, 2 Rb 3.47
Br 0.7500 0.2500 0.3861  4 In 3.34-3.42, 2 Rb 3.47
Br 0.7500 0.2500 0.8686  2 In 3.40, 4 Rb 3.42-3.51